# Sm4Dy3Tm3 (PBE-GGA, optimized geometry)
data_Sm4Dy3Tm3
_cell_length_a 3.765
_cell_length_b 13.097
_cell_length_c 13.079
_cell_angle_alpha 90.00
_cell_angle_beta 90.00
_cell_angle_gamma 90.00
_symmetry_space_group_name_H-M 'A m m 2'
_symmetry_Int_Tables_number 38
loop_
_symmetry_equiv_pos_as_xyz
'x,y,z'
'-x,-y,z'
'-x,y,z'
'x,-y,z'
'x,y+1/2,z+1/2'
'-x,-y+1/2,z+1/2'
'-x,y+1/2,z+1/2'
'x,-y+1/2,z+1/2'
loop_
_atom_site_label
_atom_site_type_symbol
_atom_site_fract_x
_atom_site_fract_y
_atom_site_fract_z
Sm1 Sm 0.000 0.000 0.000
Sm2 Sm 0.000 0.000 0.259
Sm3 Sm 0.000 0.130 0.629
Dy1 Dy 0.000 0.249 0.380
Dy2 Dy 0.500 0.000 0.798
Tm1 Tm 0.500 0.000 0.460
Tm2 Tm 0.500 0.169 0.130
# crystal system: orthorhombic
# N(E_F): 0.7619 states/eV/atom

# LiHoFe (PBE-GGA, optimized geometry)
data_LiHoFe
_cell_length_a 4.027
_cell_length_b 16.626
_cell_length_c 3.787
_cell_angle_alpha 90.00
_cell_angle_beta 90.00
_cell_angle_gamma 90.00
_symmetry_space_group_name_H-M 'C m c m'
_symmetry_Int_Tables_number 63
_symmetry_space_group_name_Hall '-C 2c 2'
loop_
_atom_site_label
_atom_site_type_symbol
_atom_site_fract_x
_atom_site_fract_y
_atom_site_fract_z
Li1 Li 0.000 0.203 0.250
Ho1 Ho 0.000 0.410 0.250
Fe1 Fe 0.000 0.028 0.250
# crystal system: orthorhombic
# N(E_F): 0.8574 states/eV/atom
# distance to the lowest polymorph of the same formula: 0.04 eV/f.u.

# InAgGe (PBE-GGA, optimized geometry)
data_InAgGe
_cell_length_a 3.847
_cell_length_b 5.669
_cell_length_c 6.312
_cell_angle_alpha 93.51
_cell_angle_beta 106.09
_cell_angle_gamma 94.39
_symmetry_space_group_name_H-M 'P 1'
_symmetry_Int_Tables_number 1
loop_
_symmetry_equiv_pos_as_xyz
'x,y,z'
loop_
_atom_site_label
_atom_site_type_symbol
_atom_site_fract_x
_atom_site_fract_y
_atom_site_fract_z
In1 In 0.000 0.000 0.000
In2 In 0.376 0.456 0.721
Ag1 Ag 0.311 0.947 0.632
Ag2 Ag 0.712 0.188 0.369
Ge1 Ge 0.027 0.511 0.112
Ge2 Ge 0.658 0.683 0.366
# crystal system: triclinic
# N(E_F): 0.3962 states/eV/atom

no.,total energy (eV/f.u.)
1,-45.1
2,-14.8
3,-9.7